# 1
Zr2NbH6: optimized geometry, GGA-PBE.

Values from the calculation:
Crystal system: monoclinic
Energy above the most stable polymorph in this dataset, kcal/mol of atoms: 0.000
Calculated volume, Å³/atom: 8.7
M_tot, μB/cell: 0.0

```
data_Zr2NbH6
_cell_length_a 3.4106
_cell_length_b 4.5626
_cell_length_c 5.8098
_cell_angle_alpha 113.12
_cell_angle_beta 107.30
_cell_angle_gamma 90.00
_space_group_name_H-M_alt 'P 1'
_space_group_IT_number 1
loop_
_space_group_symop_operation_xyz
'x,y,z'
loop_
_atom_site_label
_atom_site_fract_x
_atom_site_fract_y
_atom_site_fract_z
Zr1 0.3368 0.3364 0.6728
H1 0.5000 0.7679 0.0000
Nb1 0.0000 0.0000 0.0000
H2 0.1622 0.4053 0.3251
Zr2 0.6632 0.6636 0.3272
H3 0.8378 0.0802 0.6749
H4 0.5000 0.2321 0.0000
H5 0.1622 0.9198 0.3251
H6 0.8378 0.5947 0.6749
```

---

# 2
ZrNbH3: optimized geometry, GGA-PBE.

Values from the calculation:
Crystal system: cubic
Energy above the most stable polymorph in this dataset, kcal/mol of atoms: 10.706
Calculated volume, Å³/atom: 10.1
M_tot, μB/cell: 0.0

```
data_ZrNbH3
_cell_length_a 3.6973
_cell_length_b 3.6973
_cell_length_c 3.6973
_cell_angle_alpha 90.00
_cell_angle_beta 90.00
_cell_angle_gamma 90.00
_space_group_name_H-M_alt 'P 1'
_space_group_IT_number 1
loop_
_space_group_symop_operation_xyz
'x,y,z'
loop_
_atom_site_label
_atom_site_fract_x
_atom_site_fract_y
_atom_site_fract_z
H1 0.0000 0.5000 0.0000
H2 0.0000 0.0000 0.5000
Zr1 0.0000 0.0000 0.0000
Nb1 0.5000 0.5000 0.5000
H3 0.5000 0.0000 0.0000
```

---

# 3
ZrNb2H: optimized geometry, GGA-PBE.

Values from the calculation:
Crystal system: cubic
Energy above the most stable polymorph in this dataset, kcal/mol of atoms: 20.160
Calculated volume, Å³/atom: 16.8
M_tot, μB/cell: 0.0

```
data_ZrNb2H
_cell_length_a 4.5620
_cell_length_b 4.5620
_cell_length_c 4.5620
_cell_angle_alpha 60.00
_cell_angle_beta 60.00
_cell_angle_gamma 60.00
_space_group_name_H-M_alt 'P 1'
_space_group_IT_number 1
loop_
_space_group_symop_operation_xyz
'x,y,z'
loop_
_atom_site_label
_atom_site_fract_x
_atom_site_fract_y
_atom_site_fract_z
Nb1 0.7500 0.7500 0.7500
Nb2 0.2500 0.2500 0.2500
Zr1 0.5000 0.5000 0.5000
H1 0.0000 0.0000 0.0000
```

---

# 4
Zr2NbH: optimized geometry, GGA-PBE.

Values from the calculation:
Crystal system: trigonal
Energy above the most stable polymorph in this dataset, kcal/mol of atoms: 0.000
Calculated volume, Å³/atom: 16.9
M_tot, μB/cell: 0.0

```
data_Zr2NbH
_cell_length_a 3.0319
_cell_length_b 3.0319
_cell_length_c 8.6531
_cell_angle_alpha 79.91
_cell_angle_beta 79.91
_cell_angle_gamma 60.00
_space_group_name_H-M_alt 'P 1'
_space_group_IT_number 1
loop_
_space_group_symop_operation_xyz
'x,y,z'
loop_
_atom_site_label
_atom_site_fract_x
_atom_site_fract_y
_atom_site_fract_z
Zr1 0.8897 0.8897 0.3310
Zr2 0.1103 0.1103 0.6690
H1 0.5000 0.5000 0.5000
Nb1 0.0000 0.0000 0.0000
```

---

# 5
Zr2NbH8: optimized geometry, GGA-PBE.

Values from the calculation:
Crystal system: monoclinic
Energy above the most stable polymorph in this dataset, kcal/mol of atoms: 0.083
Calculated volume, Å³/atom: 7.7
M_tot, μB/cell: 0.0

```
data_Zr2NbH8
_cell_length_a 3.3220
_cell_length_b 4.7776
_cell_length_c 6.0164
_cell_angle_alpha 112.11
_cell_angle_beta 106.03
_cell_angle_gamma 90.00
_space_group_name_H-M_alt 'P 1'
_space_group_IT_number 1
loop_
_space_group_symop_operation_xyz
'x,y,z'
loop_
_atom_site_label
_atom_site_fract_x
_atom_site_fract_y
_atom_site_fract_z
H1 0.3370 0.0609 0.6740
H2 0.4158 0.5715 0.8316
Zr1 0.1634 0.6485 0.3268
H3 0.6630 0.9391 0.3260
H4 0.2259 0.3171 0.4519
H5 0.9927 0.2214 0.9853
H6 0.5842 0.4285 0.1684
H7 0.0073 0.7786 0.0147
Nb1 0.5000 0.0000 0.0000
Zr2 0.8366 0.3515 0.6732
H8 0.7741 0.6829 0.5481
```

---

# 6
Zr5Nb3H12: optimized geometry, GGA-PBE.

Values from the calculation:
Crystal system: cubic
Total energy, eV/atom: -5.99
Calculated volume, Å³/atom: 10.0
M_tot, μB/cell: 0.0

```
data_Zr5Nb3H12
_cell_length_a 10.1306
_cell_length_b 10.1306
_cell_length_c 10.1306
_cell_angle_alpha 109.47
_cell_angle_beta 109.47
_cell_angle_gamma 109.47
_space_group_name_H-M_alt 'P 1'
_space_group_IT_number 1
loop_
_space_group_symop_operation_xyz
'x,y,z'
loop_
_atom_site_label
_atom_site_fract_x
_atom_site_fract_y
_atom_site_fract_z
Nb1 0.3750 0.7500 0.6250
H1 0.5749 0.7313 0.6557
Zr1 0.0000 0.0000 0.5000
Zr2 0.6250 0.7500 0.8750
H2 0.9245 0.5808 0.1557
Zr3 0.0000 0.5000 0.5000
H3 0.4192 0.0755 0.3443
H4 0.4245 0.7687 0.8437
Nb2 0.1250 0.8750 0.7500
H5 0.9251 0.0808 0.6563
H6 0.0755 0.6563 0.7313
Zr4 0.0000 0.5000 0.0000
H7 0.7313 0.5749 0.1557
Nb3 0.8750 0.1250 0.2500
H8 0.0749 0.1557 0.2313
Nb4 0.6250 0.3750 0.7500
Nb5 0.7500 0.8750 0.6250
H9 0.9192 0.0749 0.8437
H10 0.2313 0.5755 0.6563
Zr5 0.2500 0.3750 0.6250
H11 0.1557 0.0749 0.7313
H12 0.3437 0.4192 0.0749
Nb6 0.3750 0.6250 0.2500
Zr6 0.5000 0.0000 0.5000
H13 0.2687 0.4251 0.8443
H14 0.2313 0.6557 0.0749
H15 0.9251 0.8443 0.7687
H16 0.7687 0.3443 0.9251
Nb7 0.2500 0.6250 0.8750
H17 0.5755 0.3443 0.9192
H18 0.9192 0.8443 0.5755
Zr7 0.1250 0.7500 0.3750
H19 0.4245 0.6557 0.0808
H20 0.5749 0.8437 0.4192
Nb8 0.1250 0.2500 0.8750
H21 0.4192 0.3437 0.5749
Zr8 0.8750 0.6250 0.7500
Zr9 0.2500 0.8750 0.1250
Zr10 0.8750 0.2500 0.6250
H22 0.1563 0.4251 0.0808
H23 0.7687 0.4245 0.3437
Nb9 0.8750 0.7500 0.1250
Nb10 0.6250 0.2500 0.3750
H24 0.2687 0.8437 0.9245
Nb11 0.7500 0.3750 0.1250
H25 0.1557 0.0808 0.9245
H26 0.3443 0.5755 0.4192
H27 0.0749 0.9192 0.3437
H28 0.8437 0.5749 0.9192
H29 0.5755 0.2313 0.1563
H30 0.9245 0.3437 0.2687
H31 0.0808 0.1557 0.4245
H32 0.4251 0.2687 0.3443
H33 0.0808 0.9251 0.1563
Zr11 0.3750 0.2500 0.1250
Zr12 0.5000 0.5000 0.0000
H34 0.6563 0.0755 0.2313
H35 0.8443 0.9251 0.2687
Zr13 0.5000 0.0000 0.0000
Zr14 0.3750 0.1250 0.7500
H36 0.3443 0.7687 0.4251
H37 0.8437 0.2687 0.4245
H38 0.7313 0.1563 0.0755
Nb12 0.2500 0.1250 0.3750
H39 0.6563 0.5808 0.9251
H40 0.6557 0.2313 0.5749
Zr15 0.1250 0.3750 0.2500
Zr16 0.5000 0.5000 0.5000
H41 0.1563 0.7313 0.5755
H42 0.8443 0.9192 0.0755
Zr17 0.0000 0.0000 0.0000
Zr18 0.7500 0.6250 0.3750
H43 0.6557 0.4245 0.5808
H44 0.5808 0.9245 0.6557
H45 0.5808 0.6563 0.4251
H46 0.4251 0.1563 0.5808
Zr19 0.7500 0.1250 0.8750
H47 0.3437 0.9245 0.7687
Zr20 0.6250 0.8750 0.2500
H48 0.0755 0.4192 0.8443
```

---

# 7
ZrNbH3: optimized geometry, GGA-PBE.

Values from the calculation:
Crystal system: monoclinic
Energy above the most stable polymorph in this dataset, kcal/mol of atoms: 0.000
Calculated volume, Å³/atom: 9.5
M_tot, μB/cell: 0.0

```
data_ZrNbH3
_cell_length_a 5.0982
_cell_length_b 6.2488
_cell_length_c 7.2425
_cell_angle_alpha 124.19
_cell_angle_beta 90.00
_cell_angle_gamma 90.00
_space_group_name_H-M_alt 'P 1'
_space_group_IT_number 1
loop_
_space_group_symop_operation_xyz
'x,y,z'
loop_
_atom_site_label
_atom_site_fract_x
_atom_site_fract_y
_atom_site_fract_z
H1 0.6361 0.8855 0.3077
H2 0.9800 0.2588 0.3748
H3 0.5200 0.7588 0.8748
Nb1 0.7524 0.0075 0.1258
Zr1 0.2516 0.4996 0.8716
Zr2 0.7516 0.0004 0.6284
Nb2 0.7476 0.5075 0.6258
H4 0.1088 0.8701 0.0546
H5 0.4800 0.2412 0.1252
H6 0.3912 0.3701 0.5546
Nb3 0.2476 0.9925 0.8742
H7 0.6088 0.6299 0.4454
Zr3 0.7484 0.5004 0.1284
H8 0.3639 0.1145 0.6923
Nb4 0.2524 0.4925 0.3742
H9 0.8912 0.1299 0.9454
H10 0.8639 0.3855 0.8077
H11 0.1361 0.6145 0.1923
H12 0.0200 0.7412 0.6252
Zr4 0.2484 0.9996 0.3716
```

---

# 8
Zr2NbH8: optimized geometry, GGA-PBE.

Values from the calculation:
Crystal system: orthorhombic
Energy above the most stable polymorph in this dataset, kcal/mol of atoms: 0.000
Calculated volume, Å³/atom: 7.9
M_tot, μB/cell: 0.0

```
data_Zr2NbH8
_cell_length_a 3.2690
_cell_length_b 4.2775
_cell_length_c 6.7742
_cell_angle_alpha 108.40
_cell_angle_beta 103.96
_cell_angle_gamma 90.00
_space_group_name_H-M_alt 'P 1'
_space_group_IT_number 1
loop_
_space_group_symop_operation_xyz
'x,y,z'
loop_
_atom_site_label
_atom_site_fract_x
_atom_site_fract_y
_atom_site_fract_z
Zr1 0.1508 0.6508 0.3016
H1 0.0000 0.7464 0.0000
H2 0.7603 0.7603 0.5205
H3 0.0000 0.2536 0.0000
H4 0.2397 0.2397 0.4795
H5 0.3702 0.6384 0.7403
Zr2 0.8492 0.3492 0.6984
H6 0.6298 0.3616 0.2597
H7 0.3702 0.1019 0.7403
Nb1 0.5000 0.0000 0.0000
H8 0.6298 0.8981 0.2597
```

---

# 9
ZrNbH2: optimized geometry, GGA-PBE.

Values from the calculation:
Crystal system: trigonal
Energy above the most stable polymorph in this dataset, kcal/mol of atoms: 5.208
Calculated volume, Å³/atom: 11.3
M_tot, μB/cell: 0.0

```
data_ZrNbH2
_cell_length_a 3.0372
_cell_length_b 3.0372
_cell_length_c 5.9000
_cell_angle_alpha 75.08
_cell_angle_beta 75.08
_cell_angle_gamma 60.00
_space_group_name_H-M_alt 'P 1'
_space_group_IT_number 1
loop_
_space_group_symop_operation_xyz
'x,y,z'
loop_
_atom_site_label
_atom_site_fract_x
_atom_site_fract_y
_atom_site_fract_z
Nb1 0.6689 0.6689 0.9933
H1 0.2632 0.2632 0.2105
Zr1 0.4971 0.4971 0.5087
H2 0.0708 0.0708 0.7875
```

---

# 10
ZrNb2H: optimized geometry, GGA-PBE.

Values from the calculation:
Crystal system: tetragonal
Energy above the most stable polymorph in this dataset, kcal/mol of atoms: 0.000
Calculated volume, Å³/atom: 17.1
M_tot, μB/cell: 0.0

```
data_ZrNb2H
_cell_length_a 5.7913
_cell_length_b 5.7913
_cell_length_c 5.7835
_cell_angle_alpha 59.96
_cell_angle_beta 59.96
_cell_angle_gamma 90.00
_space_group_name_H-M_alt 'P 1'
_space_group_IT_number 1
loop_
_space_group_symop_operation_xyz
'x,y,z'
loop_
_atom_site_label
_atom_site_fract_x
_atom_site_fract_y
_atom_site_fract_z
Nb1 0.8750 0.6249 0.7500
Nb2 0.3751 0.6250 0.2500
Zr1 0.0000 0.0000 0.0000
Nb3 0.3750 0.6251 0.7500
H1 0.2500 0.7500 0.5000
H2 0.5000 0.5000 0.0000
Zr2 0.7500 0.2500 0.5000
Nb4 0.3749 0.1250 0.2500
```

---

calculated volume of number 9 (ZrNbH2)? 11.3 Å³/atom

---

Among the records above, which one has the highest calculated volume? number 10